Record 1
# AlTcOs (PBE-GGA, relaxed)
data_AlTcOs
_space_group_name_H-M_alt 'F -4 3 m'
_space_group_IT_number 216
_space_group_name_Hall 'F -4 2 3'
_cell_length_a 5.874
_cell_length_b 5.874
_cell_length_c 5.874
_cell_angle_alpha 90.00
_cell_angle_beta 90.00
_cell_angle_gamma 90.00
loop_
_atom_site_label
_atom_site_type_symbol
_atom_site_fract_x
_atom_site_fract_y
_atom_site_fract_z
Al1 Al 0.000 0.000 0.000
Tc1 Tc 0.000 0.000 0.500
Os1 Os 0.250 0.250 0.250
# V, Å³/cell: 202.7
# E above lowest polymorph, meV/atom: 0
# Mass density, Mg/m³: 10.332
# Crystal system: cubic
# Total magnetic moment, μB per formula unit: 0.0

Record 2
# HoLu3C2Se2 (PBE-GGA, relaxed)
data_HoLu3C2Se2
_space_group_name_H-M_alt 'P 3 m 1'
_space_group_IT_number 156
_space_group_name_Hall 'P 3 -2"'
_cell_length_a 3.6838
_cell_length_b 3.6838
_cell_length_c 12.9871
_cell_angle_alpha 90.00
_cell_angle_beta 90.00
_cell_angle_gamma 120.00
loop_
_atom_site_label
_atom_site_type_symbol
_atom_site_fract_x
_atom_site_fract_y
_atom_site_fract_z
Ho1 Ho 0.0000 0.0000 0.0000
Lu1 Lu 0.0000 0.0000 0.6965
Lu2 Lu 0.6667 0.3333 0.2004
Lu3 Lu 0.6667 0.3333 0.5004
C1 C 0.3333 0.6667 0.1018
C2 C 0.3333 0.6667 0.5982
Se1 Se 0.0000 0.0000 0.3500
Se2 Se 0.6667 0.3333 0.8453
# Uncorrected energy, Ry/atom: -0.48764
# V, Å³/cell: 152.6
# Mass density, Mg/m³: 9.485
# Crystal system: trigonal
# Total magnetic moment, μB per formula unit: 0.0